Material: Ce3SnB2Pt9
Method: DFT, PBE
State: relaxed

Structure (CIF):
```
data_Ce3SnB2Pt9
_symmetry_space_group_name_H-M 'P -3 m 1'
_symmetry_Int_Tables_number 164
_symmetry_space_group_name_Hall '-P 3 2"'
_cell_length_a 5.7824
_cell_length_b 5.7824
_cell_length_c 9.6952
_cell_angle_alpha 90.00
_cell_angle_beta 90.00
_cell_angle_gamma 120.00
loop_
_atom_site_label
_atom_site_type_symbol
_atom_site_fract_x
_atom_site_fract_y
_atom_site_fract_z
Ce1 Ce 0.0000 0.0000 0.0000
Ce2 Ce 0.3333 0.6667 0.6204
Sn1 Sn 0.0000 0.0000 0.5000
B1 B 0.3333 0.6667 0.1442
Pt1 Pt 0.0000 0.5000 0.0000
Pt2 Pt 0.1675 0.3349 0.2793
```

Values from the calculation:
E_tot	-6.7108	eV/atom
density of states at the Fermi level	20.344	states/eV/cell
energy relative to the elements	-0.742	eV/atom
theoretical density	13.70	g/cm3
calculated volume	18.72	A^3/atom